Density functional theory data (GGA-PBE) for an optimized crystal structure of Hf3Ni.

Output
Energy of formation   -0.20 eV/atom
Magnetic moment   0.0 μB per formula unit
Density   12.84 g/cm³
Calculated volume   614.6 Å³/cell

Unit cell a=11.923 b=10.590 c=5.476 alpha=90.00 beta=117.27 gamma=90.00
Space group C2 (No. 5)
Symmetry-distinct sites (fractional):
Hf 0.000 0.000 0.000 (multiplicity 2)
Hf 0.000 0.284 0.000 (multiplicity 2)
Hf 0.097 0.545 0.325 (multiplicity 4)
Hf 0.097 0.739 0.872 (multiplicity 4)
Hf 0.142 0.142 0.642 (multiplicity 4)
Hf 0.201 0.844 0.463 (multiplicity 4)
Hf 0.202 0.440 0.941 (multiplicity 4)
Ni 0.000 0.350 0.500 (multiplicity 2)
Ni 0.000 0.934 0.500 (multiplicity 2)
Ni 0.208 0.142 0.207 (multiplicity 4)

Density functional theory data (GGA-PBE) for an optimized crystal structure of HfNi.

Output
Energy of formation   0.24 eV/atom
Magnetic moment   0.0 μB per formula unit
Density   9.43 g/cm³
Calculated volume   83.5 Å³/cell

Unit cell a=4.3597 b=4.3597 c=5.0729 alpha=90.00 beta=90.00 gamma=120.00
Space group P6_3/mmc (No. 194)
Symmetry-distinct sites (fractional):
Hf 0.3333 0.6667 0.2500 (multiplicity 2)
Ni 0.3333 0.6667 0.7500 (multiplicity 2)